Record 1
! SrCuSe, optimized geometry, DFT PBE; values from VASP
&SYSTEM
  ibrav = 0, nat = 3, ntyp = 3
/
ATOMIC_SPECIES
Se 78.96 Se.upf
Sr 87.62 Sr.upf
Cu 63.55 Cu.upf
CELL_PARAMETERS angstrom
4.9836 0.0000 0.0000
2.4918 4.3159 0.0000
2.4918 1.4386 4.0691
ATOMIC_POSITIONS crystal
Se 0.5000 0.5000 0.5000
Sr 0.2500 0.2500 0.2500
Cu 0.0000 0.0000 0.0000
! uncorrected energy	-3.483	eV/atom
! raw formation energy	-0.396	eV/atom
! density of states at the Fermi level	1.39	states/eV per cell
! total magnetization	0.0	μB/f.u.
! space-group type	F-43m
! excess energy over the best structure of this formula in the dataset	415	meV/atom

Record 2
! Ac2HoAlS6, optimized geometry, DFT PBE; values from VASP
&SYSTEM
  ibrav = 0, nat = 10, ntyp = 4
/
ATOMIC_SPECIES
S 32.06 S.upf
Ac 227.00 Ac.upf
Ho 164.93 Ho.upf
Al 26.98 Al.upf
CELL_PARAMETERS angstrom
7.0447 0.0000 -0.4296
0.0000 6.8668 0.0000
-3.4087 -3.4334 5.1707
ATOMIC_POSITIONS crystal
S 0.7923 0.2979 0.1149
S 0.2077 0.7021 0.8851
S 0.2077 0.1830 0.8851
S 0.3640 0.7635 0.5270
S 0.6360 0.2365 0.4730
S 0.7923 0.8170 0.1149
Ac 0.2354 0.2558 0.5116
Ac 0.7646 0.7442 0.4884
Ho 0.0000 0.5000 0.0000
Al 0.5000 0.0000 0.0000
! uncorrected energy	-5.963	eV/atom
! raw formation energy	-1.833	eV/atom
! density of states at the Fermi level	0.00	states/eV per cell
! total magnetization	0.0	μB/f.u.
! space-group type	C2/m

Record 3
! Sm2YHo, optimized geometry, DFT PBE; values from VASP
&SYSTEM
  ibrav = 0, nat = 16, ntyp = 3
/
ATOMIC_SPECIES
Ho 164.93 Ho.upf
Sm 150.36 Sm.upf
Y 88.91 Y.upf
CELL_PARAMETERS angstrom
5.7285 0.0000 0.0000
0.0000 12.6501 0.0000
0.0000 0.0000 7.3276
ATOMIC_POSITIONS crystal
Ho 0.4433 0.3335 0.2498
Ho 0.4433 0.8335 0.2502
Ho 0.9433 0.1665 0.7498
Ho 0.9433 0.6665 0.7502
Sm 0.9432 0.9163 0.0005
Sm 0.9433 0.4163 0.0000
Sm 0.4433 0.0837 0.5000
Sm 0.4433 0.5837 0.0000
Sm 0.9433 0.9163 0.5000
Sm 0.4432 0.0837 0.9995
Sm 0.4432 0.5837 0.5005
Sm 0.9432 0.4163 0.4995
Y 0.4433 0.8318 0.7502
Y 0.4433 0.3318 0.7498
Y 0.9433 0.1682 0.2498
Y 0.9433 0.6682 0.2502
! uncorrected energy	-5.103	eV/atom
! density of states at the Fermi level	28.34	states/eV per cell
! total magnetization	0.0	μB/f.u.
! space-group type	Pmmn
! excess energy over the best structure of this formula in the dataset	3	meV/atom
! energy of formation	0.02	eV/atom

Record 4
! GaPbAu6, optimized geometry, DFT PBE; values from VASP
&SYSTEM
  ibrav = 0, nat = 8, ntyp = 3
/
ATOMIC_SPECIES
Ga 69.72 Ga.upf
Au 196.97 Au.upf
Pb 207.20 Pb.upf
CELL_PARAMETERS angstrom
-3.1874 -1.3679 -1.9845
0.6288 -3.6482 1.5047
-6.1452 2.3450 8.2538
ATOMIC_POSITIONS crystal
Ga 0.0000 0.0000 0.5000
Au 0.5000 0.0000 0.6711
Au 0.0000 0.5000 0.3289
Au 0.5000 0.0000 0.3289
Au 0.0000 0.5000 0.6711
Au 0.5000 0.5000 0.8691
Au 0.5000 0.5000 0.1309
Pb 0.0000 0.0000 0.0000
! uncorrected energy	-3.358	eV/atom
! density of states at the Fermi level	2.71	states/eV per cell
! total magnetization	0.0	μB/f.u.
! space-group type	P4/mmm
! excess energy over the best structure of this formula in the dataset	0	meV/atom
! energy of formation	-0.06	eV/atom

Record 5
! TbCdPd2, optimized geometry, DFT PBE; values from VASP
&SYSTEM
  ibrav = 0, nat = 4, ntyp = 3
/
ATOMIC_SPECIES
Cd 112.41 Cd.upf
Tb 158.93 Tb.upf
Pd 106.42 Pd.upf
CELL_PARAMETERS angstrom
-1.7006 0.8661 3.0302
0.7739 -3.2231 1.3555
5.2386 2.2266 2.3035
ATOMIC_POSITIONS crystal
Cd 0.5000 0.5000 0.5000
Tb 0.5000 0.5000 0.0000
Pd 0.0000 0.0000 0.2608
Pd 0.0000 0.0000 0.7392
! uncorrected energy	-4.654	eV/atom
! density of states at the Fermi level	1.55	states/eV per cell
! total magnetization	0.0	μB/f.u.
! space-group type	P4/mmm
! excess energy over the best structure of this formula in the dataset	59	meV/atom
! energy of formation	-0.67	eV/atom

Record 6
! Cd2FeOs, optimized geometry, DFT PBE; values from VASP
&SYSTEM
  ibrav = 0, nat = 4, ntyp = 3
/
ATOMIC_SPECIES
Fe 55.84 Fe.upf
Cd 112.41 Cd.upf
Os 190.23 Os.upf
CELL_PARAMETERS angstrom
-2.7094 -6.2568 6.7473
-0.8263 -7.8924 5.3891
0.0483 -6.0951 7.4068
ATOMIC_POSITIONS crystal
Fe 0.2500 0.2500 0.2500
Cd 0.5019 0.5019 0.5019
Cd 0.9981 0.9981 0.9981
Os 0.7500 0.7500 0.7500
! uncorrected energy	-4.848	eV/atom
! density of states at the Fermi level	4.56	states/eV per cell
! total magnetization	2.9	μB/f.u.
! space-group type	R-3m
! excess energy over the best structure of this formula in the dataset	273	meV/atom
! energy of formation	0.53	eV/atom

Record 7
! CrCu2P, optimized geometry, DFT PBE; values from VASP
&SYSTEM
  ibrav = 0, nat = 4, ntyp = 3
/
ATOMIC_SPECIES
Cu 63.55 Cu.upf
P 30.97 P.upf
Cr 52.00 Cr.upf
CELL_PARAMETERS angstrom
2.5822 -0.0039 0.0000
-0.6936 2.4873 0.0000
0.0000 0.0000 7.7618
ATOMIC_POSITIONS crystal
Cu 0.0000 0.0000 0.9968
Cu 0.5000 0.5000 0.2471
P 0.0000 0.0000 0.5209
Cr 0.5000 0.5000 0.7351
! uncorrected energy	-5.603	eV/atom
! density of states at the Fermi level	1.95	states/eV per cell
! total magnetization	0.0	μB/f.u.
! space-group type	Cmm2
! energy of formation	0.20	eV/atom

Record 8
! La4Nd3Ho2, optimized geometry, DFT PBE; values from VASP
&SYSTEM
  ibrav = 0, nat = 9, ntyp = 3
/
ATOMIC_SPECIES
Nd 144.24 Nd.upf
Ho 164.93 Ho.upf
La 138.91 La.upf
CELL_PARAMETERS angstrom
-3.1458 1.9681 -0.3957
0.5441 -3.7938 -5.5981
-7.8972 -12.6264 -0.0172
ATOMIC_POSITIONS crystal
Nd 0.0000 0.0000 0.0000
Nd 0.3816 0.7632 0.6172
Nd 0.6184 0.2368 0.3828
Ho 0.6564 0.3128 0.7896
Ho 0.3436 0.6872 0.2104
La 0.1134 0.2268 0.6036
La 0.8866 0.7732 0.3964
La 0.6526 0.3051 0.1276
La 0.3474 0.6949 0.8724
! uncorrected energy	-4.710	eV/atom
! density of states at the Fermi level	14.36	states/eV per cell
! total magnetization	0.0	μB/f.u.
! space-group type	C2/m
! excess energy over the best structure of this formula in the dataset	65	meV/atom
! energy of formation	0.09	eV/atom

Record 9
! TbGd2Au, optimized geometry, DFT PBE; values from VASP
&SYSTEM
  ibrav = 0, nat = 4, ntyp = 3
/
ATOMIC_SPECIES
Au 196.97 Au.upf
Gd 157.25 Gd.upf
Tb 158.93 Tb.upf
CELL_PARAMETERS angstrom
-2.1482 0.4354 -2.9074
-1.6583 -3.1527 0.7531
-5.7162 4.1646 4.8471
ATOMIC_POSITIONS crystal
Au 0.5000 0.5000 0.0000
Gd 0.0000 0.0000 0.7911
Gd 0.0000 0.0000 0.2089
Tb 0.5000 0.5000 0.5000
! uncorrected energy	-9.401	eV/atom
! density of states at the Fermi level	6.19	states/eV per cell
! total magnetization	15.1	μB/f.u.
! space-group type	P4/mmm
! excess energy over the best structure of this formula in the dataset	0	meV/atom
! energy of formation	-0.38	eV/atom

Record 10
! Ac2Ga3Ag4Ge, optimized geometry, DFT PBE; values from VASP
&SYSTEM
  ibrav = 0, nat = 10, ntyp = 4
/
ATOMIC_SPECIES
Ge 72.64 Ge.upf
Ac 227.00 Ac.upf
Ag 107.87 Ag.upf
Ga 69.72 Ga.upf
CELL_PARAMETERS angstrom
4.6136 0.0000 0.0000
0.0000 4.6136 0.0000
0.0000 0.0000 10.6736
ATOMIC_POSITIONS crystal
Ge 0.5000 0.5000 0.5000
Ac 0.0000 0.5000 0.7470
Ac 0.5000 0.0000 0.2530
Ag 0.5000 0.0000 0.6284
Ag 0.0000 0.5000 0.3716
Ag 0.5000 0.5000 0.0000
Ag 0.0000 0.0000 0.0000
Ga 0.5000 0.0000 0.8715
Ga 0.0000 0.5000 0.1285
Ga 0.0000 0.0000 0.5000
! uncorrected energy	-3.702	eV/atom
! density of states at the Fermi level	5.82	states/eV per cell
! total magnetization	0.0	μB/f.u.
! space-group type	P-4m2
! energy of formation	-0.37	eV/atom

Record 11
! Pa2TeP, optimized geometry, DFT PBE; values from VASP
&SYSTEM
  ibrav = 0, nat = 4, ntyp = 3
/
ATOMIC_SPECIES
Pa 231.04 Pa.upf
P 30.97 P.upf
Te 127.60 Te.upf
CELL_PARAMETERS angstrom
-3.1364 2.5456 -0.3507
0.2440 -2.4887 3.1916
4.5038 5.7661 1.5758
ATOMIC_POSITIONS crystal
Pa 0.7353 0.9707 0.7058
Pa 0.2647 0.0293 0.2942
P 0.0000 0.5000 0.5000
Te 0.5000 0.5000 0.0000
! uncorrected energy	-7.910	eV/atom
! raw formation energy	-1.025	eV/atom
! density of states at the Fermi level	7.29	states/eV per cell
! total magnetization	0.0	μB/f.u.
! space-group type	R-3m
! excess energy over the best structure of this formula in the dataset	0	meV/atom

Record 12
! Na3HgB, optimized geometry, DFT PBE; values from VASP
&SYSTEM
  ibrav = 0, nat = 5, ntyp = 3
/
ATOMIC_SPECIES
Na 22.99 Na.upf
B 10.81 B.upf
Hg 200.59 Hg.upf
CELL_PARAMETERS angstrom
5.1877 0.0000 0.0000
0.0000 5.1877 0.0000
0.0000 0.0000 5.1877
ATOMIC_POSITIONS crystal
Na 0.5000 0.0000 0.0000
Na 0.0000 0.0000 0.5000
Na 0.0000 0.5000 0.0000
B 0.0000 0.0000 0.0000
Hg 0.5000 0.5000 0.5000
! uncorrected energy	-1.590	eV/atom
! density of states at the Fermi level	4.60	states/eV per cell
! total magnetization	1.7	μB/f.u.
! space-group type	Pm-3m
! excess energy over the best structure of this formula in the dataset	0	meV/atom
! energy of formation	0.60	eV/atom

Record 13
! Be2CoBr, optimized geometry, DFT PBE; values from VASP
&SYSTEM
  ibrav = 0, nat = 4, ntyp = 3
/
ATOMIC_SPECIES
Be 9.01 Be.upf
Br 79.90 Br.upf
Co 58.93 Co.upf
CELL_PARAMETERS angstrom
-0.9094 -1.0178 -2.6459
2.3557 -1.8174 -0.1083
-3.0562 -4.1183 2.6346
ATOMIC_POSITIONS crystal
Be 0.0000 0.0000 0.9270
Be 0.0000 0.0000 0.5730
Br 0.5000 0.5000 0.2500
Co 0.5000 0.5000 0.7500
! uncorrected energy	-3.742	eV/atom
! raw formation energy	0.316	eV/atom
! density of states at the Fermi level	1.47	states/eV per cell
! total magnetization	0.5	μB/f.u.
! space-group type	P4/mmm
! excess energy over the best structure of this formula in the dataset	184	meV/atom

Record 14
! PmInCo, optimized geometry, DFT PBE; values from VASP
&SYSTEM
  ibrav = 0, nat = 3, ntyp = 3
/
ATOMIC_SPECIES
Pm 145.00 Pm.upf
Co 58.93 Co.upf
In 114.82 In.upf
CELL_PARAMETERS angstrom
3.8261 0.0000 0.0000
0.0000 4.5280 0.0000
0.0000 -2.2640 3.9213
ATOMIC_POSITIONS crystal
Pm 0.6664 0.6667 0.3333
Co 0.1671 0.3333 0.6667
In 0.1665 0.0000 0.0000
! uncorrected energy	-4.979	eV/atom
! density of states at the Fermi level	2.68	states/eV per cell
! total magnetization	0.7	μB/f.u.
! space-group type	P-6m2
! excess energy over the best structure of this formula in the dataset	174	meV/atom
! energy of formation	-0.11	eV/atom